Entry 1:
BaPtCl2 | PBE-GGA | optimized geometry

Cell and atoms, written as extended XYZ:
```
4
Lattice="-3.514 -7.069 -0.752 1.703 -7.244 -2.739 1.735 6.426 4.310" Properties=species:S:1:pos:R:3 pbc="T T T"
Ba 1.150 -4.907 -0.311
Pt -0.872 -6.888 -1.680
Cl -1.779 -14.058 -3.429
Cl -1.292 -3.504 1.003
```

M_tot ... 0.00 μB per atom
Formation energy without anion corrections ... -377 kJ/mol of formula units
Energy above the lowest structure with this stoichiometry ... 336 meV/atom
E ... -3.892 eV/atom


Entry 2:
BaPt2Cl | PBE-GGA | optimized geometry

Cell and atoms, written as extended XYZ:
```
4
Lattice="-2.224 -0.424 -3.320 3.326 -0.755 -2.131 -0.606 -5.963 1.167" Properties=species:S:1:pos:R:3 pbc="T T T"
Ba -1.415 -3.193 -1.076
Pt 0.000 0.000 0.000
Pt 0.551 -0.590 -2.726
Cl 1.360 -3.359 -0.482
```

M_tot ... 0.00 μB per atom
Formation energy without anion corrections ... -204 kJ/mol of formula units
Energy above the lowest structure with this stoichiometry ... 233 meV/atom
E ... -4.491 eV/atom


Entry 3:
Ba6PtCl2 | PBE-GGA | optimized geometry

Cell and atoms, written as extended XYZ:
```
18
Lattice="-2.962 2.557 -6.465 -3.297 -7.433 -1.429 -11.353 3.766 6.691" Properties=species:S:1:pos:R:3 pbc="T T T"
Ba -8.772 1.889 2.722
Ba -5.016 0.642 0.516
Ba -12.725 2.911 4.834
Ba -8.875 1.543 -1.889
Ba -5.156 -0.019 -4.099
Ba -12.759 2.504 0.375
Ba -8.840 -3.000 -3.925
Ba -12.596 -1.753 -1.719
Ba -4.887 -4.022 -6.037
Ba -8.737 -2.653 0.685
Ba -12.456 -1.092 2.895
Ba -4.854 -3.615 -1.578
Pt -3.130 -2.438 -3.947
Pt -5.677 1.883 3.345
Cl -3.214 1.851 -2.206
Cl -8.551 0.147 -4.852
Cl -9.062 -1.257 3.649
Cl -14.398 -2.962 1.003
```

M_tot ... 0.01 μB per atom
Formation energy without anion corrections ... -860 kJ/mol of formula units
E ... -3.354 eV/atom


Entry 4:
BaPt2Cl | PBE-GGA | optimized geometry

Cell and atoms, written as extended XYZ:
```
4
Lattice="-4.516 -3.360 2.042 -0.308 -5.635 2.004 -1.226 -2.358 5.366" Properties=species:S:1:pos:R:3 pbc="T T T"
Ba -1.513 -2.838 2.353
Pt -0.390 -0.731 0.606
Pt -2.636 -4.946 4.101
Cl -4.538 -8.515 7.060
```

M_tot ... 0.00 μB per atom
Formation energy without anion corrections ... -94 kJ/mol of formula units
Energy above the lowest structure with this stoichiometry ... 518 meV/atom
E ... -4.206 eV/atom